1.
Below is a geometry-optimized Ho2CdAgAu4 structure, with properties calculated at the PBE-GGA level.

Summary:
* SG: R-3m, No. 166
* energy of formation from the pure elements: -635 meV per atom
* ρ: 13.40 g/cm3

Unit cell a=4.8994 b=4.8994 c=8.4650 alpha=73.18 beta=73.18 gamma=60.00
Fractional positions:
Cd  0.0000  0.0000  0.0000
Ho  0.2484  0.2484  0.2547
Ho  0.7516  0.7516  0.7453
Au  0.1246  0.1246  0.6264
Au  0.3745  0.3745  0.8764
Ag  0.5000  0.5000  0.5000
Au  0.6255  0.6255  0.1236
Au  0.8754  0.8754  0.3736

***

2.
Below is a geometry-optimized Ca3U3RuN8 structure, with properties calculated at the PBE-GGA level.

Summary:
* SG: R-3m, No. 166
* energy relative to the elements, uncorrected: -15.332 eV per formula unit
* ρ: 7.84 g/cm3

Unit cell a=6.7453 b=6.7454 c=6.8441 alpha=119.52 beta=90.00 gamma=120.00
Fractional positions:
N  0.7293  0.9639  0.6983
U  0.5000  0.0000  0.5000
Ca  0.0000  0.5000  0.0000
N  0.7654  0.0361  0.3017
N  0.2346  0.9639  0.6983
N  0.7655  0.5310  0.3017
N  0.7413  0.4825  0.7236
U  0.0000  0.5000  0.5000
N  0.2707  0.0361  0.3017
U  0.5000  0.5000  0.5000
Ca  0.5000  0.5000  0.0000
Ru  0.0000  0.0000  0.5000
Ca  0.0000  0.0000  0.0000
N  0.2345  0.4690  0.6983
N  0.2587  0.5175  0.2764

***

3.
Below is a geometry-optimized SbAs2Pd8 structure, with properties calculated at the PBE-GGA level.

Summary:
* SG: C2/m, No. 12
* energy relative to the elements, uncorrected: -4.240 eV per formula unit
* ρ: 10.42 g/cm3

Unit cell a=4.1115 b=6.3863 c=7.6495 alpha=111.49 beta=105.59 gamma=90.00
Fractional positions:
Pd  0.8125  0.7073  0.6250
Pd  0.9668  0.2359  0.9336
Pd  0.1875  0.2927  0.3750
As  0.8149  0.3203  0.6299
Pd  0.3245  0.0461  0.6489
Pd  0.0332  0.7641  0.0664
Sb  0.5000  0.0000  0.0000
As  0.1851  0.6797  0.3701
Pd  0.4065  0.5332  0.8130
Pd  0.5935  0.4668  0.1870
Pd  0.6755  0.9539  0.3511

***

4.
Below is a geometry-optimized LaCdRh structure, with properties calculated at the PBE-GGA level.

Summary:
* SG: F-43m, No. 216
* energy of formation from the pure elements: 176 meV per atom
* ρ: 6.85 g/cm3

Unit cell a=4.9524 b=4.9524 c=4.9524 alpha=60.00 beta=60.00 gamma=60.00
Fractional positions:
Cd  0.5000  0.5000  0.5000
Rh  0.0000  0.0000  0.0000
La  0.2500  0.2500  0.2500

***

5.
Below is a geometry-optimized KCuNi2 structure, with properties calculated at the PBE-GGA level.

Summary:
* SG: Pmmm, No. 47
* energy of formation from the pure elements: 551 meV per atom
* ρ: 5.26 g/cm3

Unit cell a=2.6367 b=3.6678 c=7.1794 alpha=90.00 beta=90.00 gamma=90.00
Fractional positions:
K  0.5000  0.5000  0.7500
Ni  0.0000  0.0000  0.4095
Ni  0.0000  0.0000  0.0904
Cu  0.5000  0.5000  0.2500

***

6.
Below is a geometry-optimized CeY3Al8 structure, with properties calculated at the PBE-GGA level.

Summary:
* SG: P3m1, No. 156
* energy of formation from the pure elements: -492 meV per atom
* ρ: 4.19 g/cm3

Unit cell a=5.5626 b=5.5626 c=9.2064 alpha=90.00 beta=90.00 gamma=120.00
Fractional positions:
Al  0.5038  0.4962  0.7518
Ce  0.0000  0.0000  0.5682
Al  0.3333  0.6667  0.4988
Al  0.1624  0.8376  0.2485
Al  0.6753  0.8376  0.2485
Y  0.6667  0.3333  0.4335
Y  0.0000  0.0000  0.9283
Al  0.9924  0.4962  0.7518
Al  0.1624  0.3247  0.2485
Al  0.3333  0.6667  0.0038
Al  0.5038  0.0076  0.7518
Y  0.6667  0.3333  0.0663

***

7.
Below is a geometry-optimized CoRe structure, with properties calculated at the PBE-GGA level.

Summary:
* SG: P2_13, No. 198
* energy of formation from the pure elements: 220 meV per atom
* ρ: 15.72 g/cm3

Unit cell a=4.6960 b=4.6960 c=4.6960 alpha=90.00 beta=90.00 gamma=90.00
Fractional positions:
Re  0.3984  0.8984  0.6016
Co  0.6002  0.8998  0.1002
Re  0.8984  0.6016  0.3984
Co  0.8998  0.1002  0.6002
Re  0.1016  0.1016  0.1016
Re  0.6016  0.3984  0.8984
Co  0.1002  0.6002  0.8998
Co  0.3998  0.3998  0.3998

***

8.
Below is a geometry-optimized CrCo4W structure, with properties calculated at the PBE-GGA level.

Summary:
* SG: Imma, No. 74
* energy of formation from the pure elements: 162 meV per atom
* ρ: 11.08 g/cm3

Unit cell a=7.8228 b=4.2489 c=6.1574 alpha=110.18 beta=129.44 gamma=90.00
Fractional positions:
Co  0.4055  0.2411  0.4820
W  0.7522  0.2522  0.5045
Co  0.1735  0.5091  0.0180
W  0.4978  0.4978  0.9955
Co  0.3259  0.9913  0.9825
Co  0.8445  0.5089  0.0180
Co  0.0765  0.2409  0.4820
Co  0.5934  0.7589  0.5175
Co  0.6566  0.9911  0.9825
Cr  0.0015  0.0014  0.0029
Co  0.9241  0.7587  0.5175
Cr  0.2485  0.7486  0.4971

***

9.
Below is a geometry-optimized LiCu2Ni structure, with properties calculated at the PBE-GGA level.

Summary:
* SG: Cmm2, No. 35
* energy of formation from the pure elements: 24 meV per atom
* ρ: 6.76 g/cm3

Unit cell a=2.4722 b=2.4722 c=8.3806 alpha=90.00 beta=90.00 gamma=112.41
Fractional positions:
Ni  0.5000  0.5000  0.7516
Cu  0.0000  0.0000  0.9947
Cu  0.5000  0.5000  0.2463
Li  0.0000  0.0000  0.5074

***

10.
Below is a geometry-optimized Tb2ErZn6 structure, with properties calculated at the PBE-GGA level.

Summary:
* SG: P6/mmm, No. 191
* energy of formation from the pure elements: -381 meV per atom
* ρ: 8.00 g/cm3

Unit cell a=3.4995 b=7.7523 c=7.7523 alpha=120.00 beta=90.00 gamma=90.00
Fractional positions:
Zn  0.5000  0.6677  0.6678
Tb  0.0000  0.6667  0.3333
Zn  0.5000  0.3322  0.0000
Zn  0.5000  0.0000  0.3322
Er  0.0000  0.0000  0.0000
Zn  0.5000  0.6678  0.0000
Zn  0.5000  0.3322  0.3322
Zn  0.5000  0.0000  0.6678
Tb  0.0000  0.3333  0.6667

***

11.
Below is a geometry-optimized Ba3HoBi2O9 structure, with properties calculated at the PBE-GGA level.

Summary:
* SG: P-3m1, No. 164
* energy relative to the elements, uncorrected: -32.927 eV per formula unit
* ρ: 7.51 g/cm3

Unit cell a=6.1908 b=6.1908 c=7.5822 alpha=90.00 beta=90.00 gamma=120.00
Fractional positions:
O  0.6623  0.8311  0.3312
Ho  0.0000  0.0000  0.5000
Ba  0.6667  0.3333  0.3329
O  0.1689  0.3377  0.3312
O  0.5000  0.0000  0.0000
O  0.5000  0.5000  0.0000
O  0.1689  0.8311  0.3312
Bi  0.6667  0.3333  0.8285
Ba  0.0000  0.0000  0.0000
O  0.0000  0.5000  0.0000
O  0.3377  0.1689  0.6688
O  0.8311  0.6623  0.6688
O  0.8311  0.1689  0.6688
Bi  0.3333  0.6667  0.1715
Ba  0.3333  0.6667  0.6671

***

12.
Below is a geometry-optimized Tl2GaNiRu structure, with properties calculated at the PBE-GGA level.

Summary:
* SG: P4/mmm, No. 123
* energy of formation from the pure elements: 778 meV per atom
* ρ: 9.00 g/cm3

Unit cell a=4.9727 b=4.7621 c=4.9727 alpha=90.00 beta=90.00 gamma=90.00
Fractional positions:
Ni  0.0000  0.0000  0.0000
Ru  0.0000  0.5000  0.0000
Ga  0.5000  0.5000  0.5000
Tl  0.5000  0.0000  0.0000
Tl  0.0000  0.0000  0.5000

***

- Number 4 is which compound?
  LaCdRh

***

Repeat the fifth record exactly.
Below is a geometry-optimized KCuNi2 structure, with properties calculated at the PBE-GGA level.

Summary:
* SG: Pmmm, No. 47
* energy of formation from the pure elements: 551 meV per atom
* ρ: 5.26 g/cm3

Unit cell a=2.6367 b=3.6678 c=7.1794 alpha=90.00 beta=90.00 gamma=90.00
Fractional positions:
K  0.5000  0.5000  0.7500
Ni  0.0000  0.0000  0.4095
Ni  0.0000  0.0000  0.0904
Cu  0.5000  0.5000  0.2500

***

- Number 9 is which compound?
  LiCu2Ni

***

- The highest ρ belongs to which entry?
  CoRe